[1]
ReSbTe2: optimized geometry, PBE.

Cell and atoms, written as POSCAR:
```
ReSbTe2
1.0
-6.8680 -7.0251 0.8838
-4.2799 -8.4763 2.6718
-6.3971 -6.2118 4.2182
Re Sb Te
1 1 2
direct
0.4987 0.4987 0.4987 Re
0.7651 0.7651 0.7651 Sb
0.2273 0.2273 0.2273 Te
0.0089 0.0089 0.0089 Te
```

Density of states at the Fermi level = 1.5 states/eV per cell
Calculated volume = 100.4 Å³/cell
Total moment = 0.000 μB/f.u.

---

[2]
ReSbTe2: optimized geometry, PBE.

Cell and atoms, written as POSCAR:
```
ReSbTe2
1.0
-4.7018 1.9184 -0.5500
-1.9923 -4.6026 0.9675
-0.0887 0.7416 3.3454
Te Re Sb
2 1 1
direct
0.0000 0.0000 0.0000 Te
0.5000 0.5000 0.0000 Te
0.5000 0.0000 0.5000 Re
0.0000 0.5000 0.5000 Sb
```

Density of states at the Fermi level = 4.2 states/eV per cell
Calculated volume = 89.4 Å³/cell
Total moment = 0.000 μB/f.u.

---

[3]
ReSbTe2: optimized geometry, PBE.

Cell and atoms, written as POSCAR:
```
ReSbTe2
1.0
-0.6959 3.6443 1.2025
-2.8371 -1.0670 1.5918
2.8142 -1.9075 7.4098
Re Sb Te
1 1 2
direct
0.0000 0.2771 0.5706 Re
0.5000 0.7208 0.6836 Sb
0.5000 0.3995 0.3252 Te
0.0000 0.1026 0.9206 Te
```

Density of states at the Fermi level = 1.9 states/eV per cell
Calculated volume = 106.4 Å³/cell
Total moment = 0.000 μB/f.u.

---

[4]
ReSbTe2: optimized geometry, PBE.

Cell and atoms, written as POSCAR:
```
ReSbTe2
1.0
-0.1097 -2.2256 2.6020
-1.6730 -2.9702 -0.3388
7.7761 -5.6889 -2.6933
Te Sb Re
2 1 1
direct
0.0308 0.0308 0.9415 Te
0.4692 0.4692 0.5585 Te
0.2500 0.2500 0.2500 Sb
0.7500 0.7500 0.7500 Re
```

Density of states at the Fermi level = 2.8 states/eV per cell
Calculated volume = 100.1 Å³/cell
Total moment = 0.000 μB/f.u.

---

Number 1: final energy -5.394 eV/atom. Number 2: final energy -4.813 eV/atom. Number 3: final energy -5.373 eV/atom. Number 4: final energy -5.356 eV/atom.